(1)
A plane-wave DFT calculation with PBE-GGA was carried out for a relaxed structure of HfTcPd2.

D(E_F)	0.6972	states/eV per atom
distance to the lowest polymorph of the same formula	177	meV/atom
DFT formation energy	0.042	eV/atom
density	11.58	g/cm³
magnetization	0.000	μB per atom

```
data_HfTcPd2
_cell_length_a 3.8622
_cell_length_b 3.8622
_cell_length_c 9.7985
_cell_angle_alpha 78.63
_cell_angle_beta 78.63
_cell_angle_gamma 90.00
_space_group_name_H-M_alt 'P 1'
_space_group_IT_number 1
_space_group_name_Hall 'P 1'
loop_
_atom_site_label
_atom_site_fract_x
_atom_site_fract_y
_atom_site_fract_z
_atom_site_occupancy
Hf1 0.7500 0.2500 0.5000 1
Hf2 0.0000 0.0000 0.0000 1
Pd1 0.3750 0.3805 0.7500 1
Pd2 0.6195 0.1250 0.2500 1
Pd3 0.8750 0.8695 0.7500 1
Pd4 0.1305 0.6250 0.2500 1
Tc1 0.5000 0.5000 0.0000 1
Tc2 0.2500 0.7500 0.5000 1
```

(2)
A plane-wave DFT calculation with PBE-GGA was carried out for a relaxed structure of Al2NiPd4.

D(E_F)	0.5223	states/eV per atom
DFT formation energy	-0.535	eV/atom
density	8.41	g/cm³
magnetization	0.000	μB per atom

```
data_Al2NiPd4
_cell_length_a 5.1868
_cell_length_b 5.1868
_cell_length_c 5.1868
_cell_angle_alpha 102.73
_cell_angle_beta 112.94
_cell_angle_gamma 112.94
_space_group_name_H-M_alt 'P 1'
_space_group_IT_number 1
_space_group_name_Hall 'P 1'
loop_
_atom_site_label
_atom_site_fract_x
_atom_site_fract_y
_atom_site_fract_z
_atom_site_occupancy
Al1 0.5000 0.0000 0.5000 1
Al2 0.5000 0.5000 0.0000 1
Ni1 0.0000 0.0000 0.0000 1
Pd1 0.5000 0.5000 0.5000 1
Pd2 0.0000 0.5000 0.0000 1
Pd3 0.0000 0.0000 0.5000 1
Pd4 0.5000 0.0000 0.0000 1
```